(1)
This record from Alexandria describes a relaxed structure of PmEuInAu. The functional is PBE.

Its symmetry is No. 216. The calculation puts the volume at 27.63 Å³/atom. The calculation puts the density of states at the Fermi level at 2.601 states/eV per atom. The formation energy comes out at -0.572 eV per atom. The final energy comes out at -5.832 eV/atom.

a = 5.387 Å, b = 5.387 Å, c = 5.387 Å
α = 60.00°, β = 60.00°, γ = 60.00°
Element x y z (fractional)
Eu 0.000 0.000 0.000
In 0.750 0.750 0.750
Au 0.250 0.250 0.250
Pm 0.500 0.500 0.500



(2)
This record from Alexandria describes a relaxed structure of YU3. The functional is PBE.

Its symmetry is No. 139. The calculation puts the volume at 23.08 Å³/atom. The calculation puts the density of states at the Fermi level at 3.154 states/eV per atom. The formation energy comes out at 0.576 eV per atom. The final energy comes out at -9.506 eV/atom.

a = 5.700 Å, b = 5.700 Å, c = 5.700 Å
α = 134.64°, β = 134.64°, γ = 66.09°
Element x y z (fractional)
Y 0.000 0.000 0.000
U 0.750 0.250 0.500
U 0.250 0.750 0.500
U 0.500 0.500 0.000



(3)
This record from Alexandria describes a relaxed structure of InOsCl2. The functional is PBE.

Its symmetry is No. 119. The calculation puts the energy relative to the elements, uncorrected at 0.92 eV per atom. The calculation puts the volume at 18.90 Å³/atom. The calculation puts the density of states at the Fermi level at 1.036 states/eV per atom. The final energy comes out at -3.496 eV/atom. The energy above the most stable polymorph in this dataset is 3.63 eV per formula unit.

a = 5.295 Å, b = 5.295 Å, c = 5.295 Å
α = 133.99°, β = 133.99°, γ = 67.10°
Element x y z (fractional)
Cl 0.000 0.000 0.000
Cl 0.250 0.750 0.500
Os 0.750 0.250 0.500
In 0.500 0.500 0.000



(4)
This record from Alexandria describes a relaxed structure of TbPd8Au2. The functional is PBE.

Its symmetry is No. 12. The calculation puts the volume at 16.69 Å³/atom. The calculation puts the density of states at the Fermi level at 1.061 states/eV per atom. The formation energy comes out at -0.349 eV per atom. The final energy comes out at -5.142 eV/atom. The energy above the most stable polymorph in this dataset is 0.00 eV per formula unit.

a = 4.094 Å, b = 6.409 Å, c = 7.543 Å
α = 104.94°, β = 105.75°, γ = 90.00°
Element x y z (fractional)
Tb 0.500 0.000 0.000
Pd 0.591 0.460 0.181
Pd 0.317 0.090 0.634
Pd 0.137 0.185 0.274
Pd 0.046 0.723 0.093
Pd 0.863 0.815 0.726
Pd 0.683 0.910 0.366
Pd 0.409 0.540 0.819
Pd 0.954 0.277 0.907
Au 0.227 0.640 0.455
Au 0.773 0.360 0.545



(5)
This record from Alexandria describes a relaxed structure of Na3Si2Ge3. The functional is PBE.

Its symmetry is No. 63. The calculation puts the energy relative to the elements, uncorrected at 0.07 eV per atom. The calculation puts the volume at 21.88 Å³/atom. The calculation puts the density of states at the Fermi level at 0.375 states/eV per atom. The final energy comes out at -3.508 eV/atom.

a = 4.939 Å, b = 5.954 Å, c = 13.082 Å
α = 90.00°, β = 90.00°, γ = 114.51°
Element x y z (fractional)
Na 0.649 0.298 0.023
Na 0.351 0.702 0.523
Na 0.649 0.298 0.477
Na 0.351 0.702 0.977
Na 0.498 0.996 0.250
Na 0.502 0.004 0.750
Si 0.802 0.604 0.662
Si 0.198 0.396 0.162
Si 0.802 0.604 0.838
Si 0.198 0.396 0.338
Ge 0.986 0.971 0.101
Ge 0.014 0.029 0.601
Ge 0.986 0.971 0.399
Ge 0.014 0.029 0.899
Ge 0.802 0.603 0.250
Ge 0.198 0.397 0.750



(6)
This record from Alexandria describes a relaxed structure of TlSeF2. The functional is PBE.

Its symmetry is No. 166. The calculation puts the energy relative to the elements, uncorrected at -0.60 eV per atom. The calculation puts the volume at 17.87 Å³/atom. The calculation puts the density of states at the Fermi level at 0.584 states/eV per atom. The final energy comes out at -2.997 eV/atom. The energy above the most stable polymorph in this dataset is 2.13 eV per formula unit.

a = 8.827 Å, b = 8.827 Å, c = 8.827 Å
α = 20.16°, β = 20.16°, γ = 20.16°
Element x y z (fractional)
Tl 0.000 0.000 0.000
Se 0.500 0.500 0.500
F 0.903 0.903 0.903
F 0.097 0.097 0.097



(7)
This record from Alexandria describes a relaxed structure of Pr2InPb. The functional is PBE.

Its symmetry is No. 11. The calculation puts the volume at 32.16 Å³/atom. The calculation puts the density of states at the Fermi level at 1.054 states/eV per atom. The formation energy comes out at -0.533 eV per atom. The final energy comes out at -4.535 eV/atom.

a = 4.492 Å, b = 6.451 Å, c = 9.558 Å
α = 111.75°, β = 90.00°, γ = 90.00°
Element x y z (fractional)
Pr 0.750 0.225 0.432
Pr 0.250 0.775 0.568
Pr 0.250 0.771 0.068
Pr 0.750 0.229 0.932
In 0.750 0.673 0.294
In 0.250 0.327 0.706
Pb 0.250 0.327 0.207
Pb 0.750 0.673 0.793



(8)
This record from Alexandria describes a relaxed structure of TiAu. The functional is PBE.

Its symmetry is No. 87. The calculation puts the volume at 18.63 Å³/atom. The calculation puts the density of states at the Fermi level at 0.834 states/eV per atom. The formation energy comes out at -0.093 eV per atom. The final energy comes out at -5.679 eV/atom.

a = 10.179 Å, b = 10.179 Å, c = 2.877 Å
α = 90.00°, β = 90.00°, γ = 90.00°
Element x y z (fractional)
Ti 0.366 0.097 0.000
Ti 0.634 0.903 0.000
Ti 0.903 0.366 0.000
Ti 0.097 0.634 0.000
Ti 0.866 0.597 0.500
Ti 0.134 0.403 0.500
Ti 0.403 0.866 0.500
Ti 0.597 0.134 0.500
Au 0.172 0.903 0.000
Au 0.828 0.097 0.000
Au 0.097 0.172 0.000
Au 0.903 0.828 0.000
Au 0.672 0.403 0.500
Au 0.328 0.597 0.500
Au 0.597 0.672 0.500
Au 0.403 0.328 0.500



(9)
This record from Alexandria describes a relaxed structure of TmHf2UC4. The functional is PBE.

Its symmetry is No. 10. The calculation puts the volume at 13.87 Å³/atom. The calculation puts the density of states at the Fermi level at 0.452 states/eV per atom. The formation energy comes out at -0.593 eV per atom. The final energy comes out at -9.664 eV/atom.

a = 3.388 Å, b = 5.907 Å, c = 5.851 Å
α = 71.32°, β = 90.00°, γ = 90.00°
Element x y z (fractional)
Tm 0.000 0.500 0.500
Hf 0.000 0.000 0.000
Hf 0.500 0.000 0.500
U 0.500 0.500 0.000
C 0.000 0.762 0.753
C 0.000 0.238 0.247
C 0.500 0.756 0.231
C 0.500 0.244 0.769



(10)
This record from Alexandria describes a relaxed structure of HfTe3H. The functional is PBE.

Its symmetry is No. 221. The calculation puts the volume at 34.71 Å³/atom. The calculation puts the density of states at the Fermi level at 1.003 states/eV per atom. The final energy comes out at -4.272 eV/atom. The energy above the most stable polymorph in this dataset is 0.00 eV per formula unit.

a = 5.578 Å, b = 5.578 Å, c = 5.578 Å
α = 90.00°, β = 90.00°, γ = 90.00°
Element x y z (fractional)
H 0.500 0.500 0.500
Te 0.000 0.500 0.000
Te 0.000 0.000 0.500
Te 0.500 0.000 0.000
Hf 0.000 0.000 0.000



(11)
This record from Alexandria describes a relaxed structure of LiTl2InHg2. The functional is PBE.

Its symmetry is No. 72. The calculation puts the volume at 26.49 Å³/atom. The calculation puts the density of states at the Fermi level at 0.369 states/eV per atom. The formation energy comes out at -0.081 eV per atom. The final energy comes out at -1.746 eV/atom.

a = 6.309 Å, b = 6.253 Å, c = 9.201 Å
α = 109.86°, β = 110.05°, γ = 90.00°
Element x y z (fractional)
Li 0.000 0.750 0.000
Li 0.000 0.250 0.000
Tl 0.462 0.180 0.359
Tl 0.538 0.820 0.641
Tl 0.103 0.320 0.641
Tl 0.897 0.680 0.359
In 0.500 0.750 0.000
In 0.500 0.250 0.000
Hg 0.924 0.123 0.246
Hg 0.323 0.623 0.246
Hg 0.677 0.377 0.754
Hg 0.076 0.877 0.754



(12)
This record from Alexandria describes a relaxed structure of HRh3Se. The functional is PBE.

Its symmetry is No. 221. The calculation puts the volume at 18.98 Å³/atom. The calculation puts the density of states at the Fermi level at 0.844 states/eV per atom. The final energy comes out at -4.624 eV/atom. The energy above the most stable polymorph in this dataset is 5.09 eV per formula unit.

a = 4.562 Å, b = 4.562 Å, c = 4.562 Å
α = 90.00°, β = 90.00°, γ = 90.00°
Element x y z (fractional)
H 0.500 0.500 0.500
Rh 0.000 0.500 0.000
Rh 0.000 0.000 0.500
Rh 0.500 0.000 0.000
Se 0.000 0.000 0.000